Record 1
Below is a relaxed structure of LaTePt2, with properties calculated at the GGA-PBEsol level.

Properties
Uncorrected formation energy = -0.751 eV per atom
Total DFT energy (no corrections) = -6.451 eV/atom

Lattice parameters (Å, degrees): 4.5296 4.5296 15.0494 90.00 90.00 120.00
Space group R-3m (No. 166, hexagonal axes)
Unique sites:
1 La 0.0000 0.0000 0.0000 x3
2 Te 0.0000 0.0000 0.5000 x3
3 Pt 0.0000 0.0000 0.2186 x6

***

Record 2
Below is a relaxed structure of LaTePt2, with properties calculated at the GGA-PBEsol level.

Properties
Uncorrected formation energy = -0.584 eV per atom
Total DFT energy (no corrections) = -6.284 eV/atom

Lattice parameters (Å, degrees): 3.819 3.819 5.947 90.00 90.00 90.00
Space group P4/mmm (No. 123)
Unique sites:
1 La 0.000 0.000 0.000 x1
2 Te 0.000 0.000 0.500 x1
3 Pt 0.500 0.500 0.260 x2

***

Record 3
Below is a relaxed structure of LaTePt2, with properties calculated at the GGA-PBEsol level.

Properties
Uncorrected formation energy = -0.633 eV per atom
Total DFT energy (no corrections) = -6.333 eV/atom

Lattice parameters (Å, degrees): 4.427 4.427 4.294 90.00 90.00 90.00
Space group P4/mmm (No. 123)
Unique sites:
1 La 0.000 0.000 0.000 x1
2 Te 0.500 0.500 0.000 x1
3 Pt 0.000 0.500 0.500 x2

***

Record 4
Below is a relaxed structure of La2TePt, with properties calculated at the GGA-PBEsol level.

Properties
Uncorrected formation energy = -1.065 eV per atom
Total DFT energy (no corrections) = -6.361 eV/atom

Lattice parameters (Å, degrees): 3.958 4.741 11.007 90.00 90.00 90.00
Space group Imm2 (No. 44)
Unique sites:
1 La 0.000 0.000 0.000 x2
2 La 0.000 0.500 0.224 x2
3 Te 0.000 0.000 0.435 x2
4 Pt 0.000 0.500 0.720 x2

***

Record 5
Below is a relaxed structure of La4TePt, with properties calculated at the GGA-PBEsol level.

Properties
Uncorrected formation energy = -0.020 eV per atom
Total DFT energy (no corrections) = -5.333 eV/atom

Lattice parameters (Å, degrees): 8.716 8.716 8.716 90.00 90.00 90.00
Space group F-43m (No. 216)
Unique sites:
1 La 0.124 0.124 0.124 x16
2 Te 0.250 0.250 0.750 x4
3 Pt 0.000 0.000 0.500 x4

***

Record 6
Below is a relaxed structure of LaTi3Pt, with properties calculated at the GGA-PBEsol level.

Properties
Total DFT energy (no corrections) = -6.250 eV/atom
ΔE_f = 1.20 eV/atom

Lattice parameters (Å, degrees): 4.627 4.627 4.627 90.00 90.00 90.00
Space group Pm-3m (No. 221)
Unique sites:
1 La 0.000 0.000 0.000 x1
2 Ti 0.000 0.000 0.500 x3
3 Pt 0.500 0.500 0.500 x1

***

What is the formula in the second record?
LaTePt2

***

total DFT energy (no corrections) of number 5 (La4TePt)?
-5.333 eV/atom